A geometry-optimized BaScBe2 structure. Source: Alexandria via LeMat-Bulk, functional PBE-GGA.

extended XYZ file:
```
8
Lattice="3.3881 0.0000 0.0000 0.0000 5.1449 0.0000 0.0000 0.0000 9.5336" Properties=species:S:1:pos:R:3 pbc="T T T"
Ba 0.0000 0.0000 0.0000
Ba 1.6940 2.5724 4.7668
Sc 0.0000 2.5724 1.6764
Sc 1.6940 0.0000 6.4432
Be 0.0000 0.0000 4.0242
Be 0.0000 2.5724 7.4611
Be 1.6940 0.0000 2.6943
Be 1.6940 2.5724 8.7910
```

Computed properties:
The calculation puts the uncorrected energy at -3.412 eV/atom. The space group is Imm2 (44). For the distance to the lowest polymorph of the same formula, the calculation gives 0.272 eV per atom. The value obtained for the formation energy is 0.52 eV per atom.